Entry 1:
ScCoCu2 after structural relaxation. Source: Alexandria, functional PBE.

Unit cell a=8.833 b=8.833 c=8.833 alpha=17.86 beta=17.86 gamma=17.86
Last column: magnetic moment on the atom in μB.
Element x y z (fractional)
Sc 0.250 0.250 0.250  -0.02
Co 0.750 0.750 0.750  1.68
Cu 0.493 0.493 0.493  0.03
Cu 0.007 0.007 0.007  0.03

Calculated density, g cm⁻³: 6.8
SG: No. 166

---

Entry 2:
Sc2CoCu after structural relaxation. Source: Alexandria, functional PBE.

Unit cell a=3.185 b=3.185 c=6.447 alpha=90.00 beta=90.00 gamma=90.00
Last column: magnetic moment on the atom in μB.
Element x y z (fractional)
Co 0.500 0.500 0.000  0.64
Sc 0.000 0.000 0.762  -0.07
Sc 0.000 0.000 0.238  -0.07
Cu 0.500 0.500 0.500  0.02

Calculated density, g cm⁻³: 5.4
ΔE to the lowest computed polymorph, meV per atom: 0.0
SG: No. 123

---

Entry 3:
ScCoCu after structural relaxation. Source: Alexandria, functional PBE.

Unit cell a=4.877 b=4.877 c=4.877 alpha=141.87 beta=142.12 gamma=54.84
Last column: magnetic moment on the atom in μB.
Element x y z (fractional)
Co 0.992 0.992 0.000  0.86
Sc 0.660 0.660 0.000  -0.12
Cu 0.348 0.348 0.000  -0.01

Calculated density, g cm⁻³: 6.4
SG: No. 44

---

Entry 4:
ScCoCu2 after structural relaxation. Source: Alexandria, functional PBE.

Unit cell a=4.226 b=2.809 c=4.867 alpha=74.16 beta=90.00 gamma=90.00
Last column: magnetic moment on the atom in μB.
Element x y z (fractional)
Co 0.500 0.750 0.750  0.69
Cu 0.000 0.921 0.976  0.00
Cu 0.000 0.579 0.524  0.00
Sc 0.500 0.250 0.250  -0.12

Calculated density, g cm⁻³: 6.9
SG: No. 10

---

Entry 5:
Sc2CoCu after structural relaxation. Source: Alexandria, functional PBE.

Unit cell a=5.222 b=5.222 c=5.222 alpha=137.12 beta=137.12 gamma=62.26
Element x y z (fractional)
Sc 0.000 0.000 0.000
Sc 0.250 0.750 0.500
Cu 0.750 0.250 0.500
Co 0.500 0.500 0.000

Calculated density, g cm⁻³: 5.4
ΔE to the lowest computed polymorph, meV per atom: 220.2
SG: No. 119

---

Entry 6:
Sc2CoCu after structural relaxation. Source: Alexandria, functional PBE.

Unit cell a=7.570 b=7.570 c=7.570 alpha=25.69 beta=25.69 gamma=25.69
Element x y z (fractional)
Sc 0.510 0.510 0.510
Sc 0.990 0.990 0.990
Co 0.250 0.250 0.250
Cu 0.750 0.750 0.750

Calculated density, g cm⁻³: 4.9
ΔE to the lowest computed polymorph, meV per atom: 324.3
SG: No. 166

---

Entry 7:
ScCoCu2 after structural relaxation. Source: Alexandria, functional PBE.

Unit cell a=4.558 b=4.558 c=3.860 alpha=64.95 beta=64.95 gamma=50.04
Element x y z (fractional)
Cu 0.750 0.750 0.750
Cu 0.000 0.000 0.000
Sc 0.500 0.500 0.500
Co 0.250 0.250 0.250

Calculated density, g cm⁻³: 7.1
SG: No. 119

---

Entry 8:
Sc2CoCu after structural relaxation. Source: Alexandria, functional PBE.

Unit cell a=5.576 b=5.576 c=5.576 alpha=147.71 beta=133.69 gamma=57.58
Last column: magnetic moment on the atom in μB.
Element x y z (fractional)
Co 0.487 0.487 0.000  0.42
Cu 0.287 0.787 0.500  0.00
Sc 0.010 0.010 0.000  -0.06
Sc 0.717 0.217 0.500  -0.04

Calculated density, g cm⁻³: 5.3
ΔE to the lowest computed polymorph, meV per atom: 168.6
SG: No. 44

---

Computed calculated formation energy, in the same sequence as the records: 296; -318; -111; 0; -98; 6; -110; -149 meV per atom.